Here is FeW2Au after structural relaxation from the Alexandria database. Energies are from PBE.

a b c (Å): 9.1748 9.1748 9.1748
angles (deg): 17.82 17.82 17.82
Site moments in Bohr magnetons follow the coordinates.
Fractional positions:
W 0.2516 0.2516 0.2516  -0.03
W 0.0065 0.0065 0.0065  -0.14
Fe 0.7465 0.7465 0.7465  2.31
Au 0.4954 0.4954 0.4954  0.02

Properties
Its size of the total moment is 2.12 μB/f.u. As for the excess energy over the best structure of this formula in the dataset: 189 meV per atom. Its total energy is -36.0 eV/cell. As for the volume: 15.78 A^3/atom. The calculation puts the formation energy at 39.8 kJ/mol of atoms. As for the space group: R3m (160). The density of states at the Fermi level comes out at 4.58 states/eV/f.u.



Here is Fe2WAu after structural relaxation from the Alexandria database. Energies are from PBE.

a b c (Å): 4.3120 2.6521 5.1945
angles (deg): 83.50 90.00 90.00
Site moments in Bohr magnetons follow the coordinates.
Fractional positions:
Fe 0.0000 0.9713 0.0318  2.46
W 0.5000 0.2500 0.2500  -0.24
Au 0.5000 0.7500 0.7500  0.03
Fe 0.0000 0.5287 0.4682  2.46

Properties
Its size of the total moment is 4.70 μB/f.u. As for the excess energy over the best structure of this formula in the dataset: 108 meV per atom. Its total energy is -31.9 eV/cell. As for the volume: 14.76 A^3/atom. The calculation puts the formation energy at 30.7 kJ/mol of atoms. As for the space group: P2/m (10). The density of states at the Fermi level comes out at 3.52 states/eV/f.u.



Here is Fe4WAu after structural relaxation from the Alexandria database. Energies are from PBE.

a b c (Å): 4.7772 4.7772 4.7772
angles (deg): 60.00 60.00 60.00
Site moments in Bohr magnetons follow the coordinates.
Fractional positions:
Fe 0.1252 0.6249 0.6249  1.92
Fe 0.6249 0.6249 0.1252  1.92
W 0.2500 0.2500 0.2500  -0.74
Fe 0.6249 0.6249 0.6249  1.92
Au 0.0000 0.0000 0.0000  0.01
Fe 0.6249 0.1252 0.6249  1.92

Properties
Its size of the total moment is 6.84 μB/f.u. Its total energy is -49.6 eV/cell. As for the volume: 12.85 A^3/atom. The calculation puts the formation energy at 8.3 kJ/mol of atoms. As for the space group: F-43m (216). The density of states at the Fermi level comes out at 3.73 states/eV/f.u.



Here is Fe2WAu after structural relaxation from the Alexandria database. Energies are from PBE.

a b c (Å): 4.5707 4.5707 4.5707
angles (deg): 129.47 129.44 74.27
Site moments in Bohr magnetons follow the coordinates.
Fractional positions:
Fe 0.0000 0.0000 0.0000  1.74
W 0.7500 0.2500 0.5000  -0.68
Au 0.2500 0.7500 0.5000  0.00
Fe 0.5000 0.5000 0.0000  1.74

Properties
Its size of the total moment is 2.67 μB/f.u. As for the excess energy over the best structure of this formula in the dataset: 60 meV per atom. Its total energy is -32.1 eV/cell. As for the volume: 13.87 A^3/atom. The calculation puts the formation energy at 26.0 kJ/mol of atoms. As for the space group: I4/mmm (139). The density of states at the Fermi level comes out at 3.55 states/eV/f.u.



Here is FeW2Au after structural relaxation from the Alexandria database. Energies are from PBE.

a b c (Å): 4.8912 4.8912 4.6395
angles (deg): 78.20 78.20 34.87
Site moments in Bohr magnetons follow the coordinates.
Fractional positions:
Fe 0.2500 0.2500 0.2500  2.16
W 0.5046 0.5046 0.4907  -0.12
W 0.9954 0.9954 0.0093  -0.12
Au 0.7500 0.7500 0.7500  -0.01

Properties
Its size of the total moment is 1.85 μB/f.u. As for the excess energy over the best structure of this formula in the dataset: 163 meV per atom. Its total energy is -36.1 eV/cell. As for the volume: 15.50 A^3/atom. The calculation puts the formation energy at 37.2 kJ/mol of atoms. As for the space group: C2/m (12). The density of states at the Fermi level comes out at 3.58 states/eV/f.u.



Here is YFeAu2 after structural relaxation from the Alexandria database. Energies are from PBE.

a b c (Å): 3.4383 3.4542 7.3845
angles (deg): 62.02 90.00 90.00
Site moments in Bohr magnetons follow the coordinates.
Fractional positions:
Au 0.0000 0.5352 0.4660  0.01
Au 0.0000 0.9648 0.0340  0.01
Y 0.5000 0.7500 0.7500  -0.07
Fe 0.5000 0.2500 0.2500  2.99

Properties
Its size of the total moment is 2.90 μB/f.u. Its total energy is -22.6 eV/cell. As for the volume: 19.36 A^3/atom. The calculation puts the formation energy at -26.3 kJ/mol of atoms. As for the space group: P2/m (10). The density of states at the Fermi level comes out at 5.22 states/eV/f.u.



Here is YFe2Au after structural relaxation from the Alexandria database. Energies are from PBE.

a b c (Å): 4.6418 4.6418 4.6418
angles (deg): 60.00 60.00 60.00
Site moments in Bohr magnetons follow the coordinates.
Fractional positions:
Fe 0.0000 0.0000 0.0000  2.48
Fe 0.2500 0.2500 0.2500  2.88
Y 0.7500 0.7500 0.7500  -0.14
Au 0.5000 0.5000 0.5000  0.02

Properties
Its size of the total moment is 5.15 μB/f.u. Its total energy is -26.4 eV/cell. As for the volume: 17.68 A^3/atom. The calculation puts the formation energy at 5.9 kJ/mol of atoms. As for the space group: F-43m (216). The density of states at the Fermi level comes out at 3.13 states/eV/f.u.



Here is YFe2Au after structural relaxation from the Alexandria database. Energies are from PBE.

a b c (Å): 3.2266 3.2642 7.4144
angles (deg): 63.98 90.00 90.00
Site moments in Bohr magnetons follow the coordinates.
Fractional positions:
Fe 0.5000 0.3072 0.1935  2.42
Y 0.0000 0.5157 0.4839  -0.17
Au 0.5000 0.7130 0.7867  0.01
Fe 0.0000 0.9642 0.0360  2.83

Properties
Its size of the total moment is 5.02 μB/f.u. Its total energy is -26.9 eV/cell. As for the volume: 17.54 A^3/atom. The calculation puts the formation energy at -5.4 kJ/mol of atoms. As for the space group: Pm (6). The density of states at the Fermi level comes out at 3.48 states/eV/f.u.